Entry from Alexandria via LeMat-Bulk: a geometry-optimized MgGa2Ag2 structure (PBEsol).

```
MgGa2Ag2
1.0
3.714 0.000 0.000
0.000 3.714 0.000
0.000 0.000 13.279
Mg Ga Ag
2 4 4
direct
0.000 0.000 0.000
0.500 0.500 0.500
0.000 0.500 0.250
0.000 0.500 0.750
0.500 0.000 0.250
0.500 0.000 0.750
0.000 0.000 0.398
0.000 0.000 0.602
0.500 0.500 0.102
0.500 0.500 0.898
```

Values from the calculation:
**Formation enthalpy at 0 K**: -0.058 eV/atom
**Crystal system**: tetragonal

=====

Entry from Alexandria via LeMat-Bulk: a geometry-optimized TlCdRh2 structure (PBEsol).

```
TlCdRh2
1.0
3.214 0.000 0.000
0.000 3.214 0.000
0.000 0.000 6.365
Tl Cd Rh
1 1 2
direct
0.000 0.000 0.000
0.000 0.000 0.500
0.500 0.500 0.249
0.500 0.500 0.751
```

Values from the calculation:
**Formation enthalpy at 0 K**: -0.023 eV/atom
**Energy relative to the lowest polymorph listed for this composition**: 0.020 eV per atom
**Crystal system**: tetragonal

=====

Entry from Alexandria via LeMat-Bulk: a geometry-optimized GaFeBTe2 structure (PBEsol).

```
GaFeBTe2
1.0
4.969 0.000 0.000
0.000 4.969 0.000
0.000 0.000 3.920
Ga Fe B Te
1 1 1 2
direct
0.000 0.000 0.000
0.500 0.500 0.000
0.500 0.500 0.500
0.000 0.500 0.500
0.500 0.000 0.500
```

Values from the calculation:
**Crystal system**: tetragonal
**Formation energy from raw total energies**: 3.2 eV per formula unit

=====

Entry from Alexandria via LeMat-Bulk: a geometry-optimized Si2AgTe structure (PBEsol).

```
Si2AgTe
1.0
11.356 0.000 0.000
0.000 3.889 0.000
-1.187 0.000 3.685
Si Ag Te
4 2 2
direct
0.243 0.000 0.198
0.257 0.500 0.802
0.743 0.500 0.198
0.757 0.000 0.802
0.000 0.000 0.000
0.500 0.500 0.000
0.000 0.500 0.500
0.500 0.000 0.500
```

Values from the calculation:
**Energy relative to the lowest polymorph listed for this composition**: 0.000 eV per atom
**Crystal system**: monoclinic
**Formation energy from raw total energies**: 1.3 eV per formula unit

=====

Entry from Alexandria via LeMat-Bulk: a geometry-optimized YCuOs2 structure (PBEsol).

```
YCuOs2
1.0
5.328 0.000 0.000
0.000 8.105 0.000
0.000 0.000 2.962
Y Cu Os
2 2 4
direct
0.000 0.000 0.000
0.500 0.500 0.000
0.000 0.500 0.000
0.500 0.000 0.000
0.250 0.250 0.500
0.250 0.750 0.500
0.750 0.250 0.500
0.750 0.750 0.500
```

Values from the calculation:
**Formation enthalpy at 0 K**: 0.545 eV/atom
**Energy relative to the lowest polymorph listed for this composition**: 0.173 eV per atom
**Crystal system**: orthorhombic

=====

Entry from Alexandria via LeMat-Bulk: a geometry-optimized MnCrTe structure (PBEsol).

```
MnCrTe
1.0
3.164 0.000 0.000
0.000 3.164 0.000
0.000 0.000 9.810
Mn Cr Te
2 2 2
direct
0.000 0.000 0.000
0.500 0.500 0.500
0.000 0.000 0.622
0.500 0.500 0.122
0.000 0.000 0.317
0.500 0.500 0.817
```

Values from the calculation:
**Energy relative to the lowest polymorph listed for this composition**: 0.000 eV per atom
**Crystal system**: tetragonal
**Formation energy from raw total energies**: 1.5 eV per formula unit

=====

Entry from Alexandria via LeMat-Bulk: a geometry-optimized PrCoSb2 structure (PBEsol).

```
PrCoSb2
1.0
4.322 0.000 0.000
0.000 4.322 0.000
0.000 0.000 9.788
Pr Co Sb
2 2 4
direct
0.250 0.250 0.242
0.750 0.750 0.758
0.250 0.750 0.000
0.750 0.250 0.000
0.250 0.250 0.868
0.250 0.750 0.500
0.750 0.250 0.500
0.750 0.750 0.132
```

Values from the calculation:
**Crystal system**: tetragonal
**Formation energy from raw total energies**: -2.7 eV per formula unit

=====

Entry from Alexandria via LeMat-Bulk: a geometry-optimized TiBeAl2 structure (PBEsol).

```
TiBeAl2
1.0
6.857 0.000 0.000
0.000 6.857 0.000
0.000 0.000 5.058
Ti Be Al
4 4 8
direct
0.000 0.000 0.000
0.000 0.500 0.250
0.500 0.000 0.750
0.500 0.500 0.500
0.000 0.000 0.500
0.000 0.500 0.750
0.500 0.000 0.250
0.500 0.500 0.000
0.198 0.250 0.625
0.250 0.698 0.875
0.250 0.802 0.375
0.302 0.250 0.125
0.698 0.750 0.125
0.750 0.198 0.375
0.750 0.302 0.875
0.802 0.750 0.625
```

Values from the calculation:
**Formation enthalpy at 0 K**: 0.122 eV/atom
**Crystal system**: tetragonal

=====

Number 1: uncorrected energy -3.06 eV/atom, total magnetization 0.00 μB/cell. Number 2: uncorrected energy -5.05 eV/atom, total magnetization 0.00 μB/cell. Number 3: uncorrected energy -4.64 eV/atom, total magnetization 2.63 μB/cell. Number 4: uncorrected energy -4.26 eV/atom, total magnetization 0.00 μB/cell. Number 5: uncorrected energy -8.35 eV/atom, total magnetization 0.00 μB/cell. Number 6: uncorrected energy -7.34 eV/atom, total magnetization 0.24 μB/cell. Number 7: uncorrected energy -6.17 eV/atom, total magnetization 1.55 μB/cell. Number 8: uncorrected energy -5.00 eV/atom, total magnetization 0.00 μB/cell.